1.
{
  "formula": "CdW2Au2",
  "functional": "PBE-GGA",
  "state": "relaxed",
  "relative_energy_ev_per_fu": 1.78,
  "cell": [[4.077, 0.000, 0.000], [0.000, 4.077, 0.000], [2.039, 2.039, 6.022]],
  "species": ["Au", "Au", "W", "W", "Cd"],
  "fractional_positions": [[0.750, 0.250, 0.500], [0.250, 0.750, 0.500], [0.597, 0.597, 0.806], [0.403, 0.403, 0.194], [0.000, 0.000, 0.000]]
}

2.
{
  "formula": "CdW2Au",
  "functional": "PBE-GGA",
  "state": "relaxed",
  "relative_energy_ev_per_fu": 1.06,
  "cell": [[-0.256, 3.133, 4.434], [-3.662, -1.506, 3.722], [4.444, -1.495, -2.748]],
  "species": ["W", "W", "Au", "Cd"],
  "fractional_positions": [[0.767, 0.267, 0.500], [0.976, 0.976, 0.000], [0.507, 0.507, 0.000], [0.250, 0.750, 0.500]]
}